[1]
The following is a DFT calculation (PBE-GGA) of a relaxed structure of Dy2Zn2Sn.

a b c (Å): 5.825 5.825 5.825
angles (deg): 137.28 119.09 77.25
Sites, in units of the cell vectors:
Dy1 0.214 0.214 0.000
Dy2 0.786 0.786 0.000
Zn1 0.207 0.500 0.707
Zn2 0.793 0.500 0.293
Sn1 0.500 0.000 0.500

Values from the calculation:
- DFT total energy (eV/atom) = -3.58


[2]
The following is a DFT calculation (PBE-GGA) of a relaxed structure of Zr3SnRh.

a b c (Å): 5.018 5.018 5.018
angles (deg): 90.00 90.00 90.00
Sites, in units of the cell vectors:
Zr1 0.000 0.000 0.500
Zr2 0.000 0.500 0.000
Zr3 0.500 0.000 0.000
Sn1 0.500 0.500 0.500
Rh1 0.000 0.000 0.000

Values from the calculation:
- DFT total energy (eV/atom) = -7.43


Computed values of ΔE_f (unit: eV/atom) for the preceding records, in sequence: -0.430 -0.030.
Computed values of N(E_F) (unit: states/eV/cell) for the preceding records, in sequence: 4.49 4.66.